GGA-PBE MgCdOs2, optimized geometry; relative energy among the computed polymorphs = 0.361 eV/atom; SG = No. 47; V = 64.5 Å³/cell; total magnetic moment = 0.000 μB per formula unit; DOS(E_F) = 0.822 states/eV per atom
1.0
-2.851 -0.877 0.060
1.346 -4.391 -0.220
0.156 -0.188 4.694
Os Cd Mg
2 1 1
Direct
0.000 0.000 0.000
0.500 0.500 0.000
0.500 0.000 0.500
0.000 0.500 0.500


GGA-PBE Mg3CdOs, optimized geometry; relative energy among the computed polymorphs = 0.000 eV/atom; SG = No. 221; V = 125.2 Å³/cell; total magnetic moment = 0.000 μB per formula unit; DOS(E_F) = 0.615 states/eV per atom
1.0
-0.651 4.797 -1.260
1.228 -1.075 -4.728
-4.805 -0.925 -1.037
Cd Mg Os
1 3 1
Direct
0.500 0.500 0.500
0.500 0.000 0.000
0.000 0.500 0.000
0.000 0.000 0.500
0.000 0.000 0.000


Question: Which of these has the lowest V?
Answer: MgCdOs2


Question: What is the V in the first record?
Answer: 64.5 Å³/cell


Question: Which formula does entry 1 have?
Answer: MgCdOs2


Question: What is the relative energy among the computed polymorphs in the second record?
Answer: 0.000 eV/atom